This record from Alexandria via LeMat-Bulk describes a relaxed MnRuAu2 crystal. The functional is PBE-GGA.

N(E_F): 2.920 states/eV/cell
Energy: -23.9 eV per cell
Energy above the lowest structure with this stoichiometry: 110 meV/atom

Cell lengths 2.9140, 2.9140, 7.6896 Å; angles 90.00, 90.00, 90.00 degrees
Last column: nearest neighbours and their distance in Å.
Element x y z (fractional)
Mn 0.0000 0.0000 0.0000  8 Au 2.78, 4 Mn 2.91
Ru 0.0000 0.0000 0.5000  8 Au 2.86, 4 Ru 2.91
Au 0.5000 0.5000 0.2428  4 Mn 2.78, 4 Ru 2.86, 4 Au 2.91
Au 0.5000 0.5000 0.7572  4 Mn 2.78, 4 Ru 2.86, 4 Au 2.91